[1]
The following is a PBE-GGA calculation of Mg6ZnCo after structural relaxation, from Alexandria via LeMat-Bulk.

a = 6.049 Å, b = 6.049 Å, c = 4.758 Å
α = 90.00°, β = 90.00°, γ = 119.31°
Atoms (fractional coordinates):
1 Mg 0.164 0.332 0.500
2 Mg 0.349 0.170 0.000
3 Mg 0.668 0.836 0.500
4 Mg 0.830 0.651 0.000
5 Mg 0.329 0.671 0.000
6 Mg 0.825 0.175 0.000
7 Zn 0.167 0.833 0.500
8 Co 0.668 0.332 0.500

Results
ΔH_f (0 K) = 0.755 eV per formula unit
N(E_F) = 4.74 states/eV per cell
energy = -2.15 eV/atom



[2]
The following is a PBE-GGA calculation of Mg2ZnCo after structural relaxation, from Alexandria via LeMat-Bulk.

a = 4.425 Å, b = 4.425 Å, c = 4.425 Å
α = 60.00°, β = 60.00°, γ = 60.00°
Atoms (fractional coordinates):
1 Mg 0.000 0.000 0.000
2 Zn 0.250 0.250 0.250
3 Mg 0.750 0.750 0.750
4 Co 0.500 0.500 0.500

Results
ΔH_f (0 K) = 0.347 eV per formula unit
N(E_F) = 3.49 states/eV per cell
energy = -2.81 eV/atom